First-principles (PBE) data for NaSmDy after structural relaxation, as listed in the Open Quantum Materials Database.

POSCAR file:
```
NaSmDy
1.0
0.000 3.778 3.778
3.778 0.000 3.778
3.778 3.778 0.000
Dy Na Sm
1 1 1
Direct
0.250 0.250 0.250
0.000 0.000 0.000
0.750 0.750 0.750
```

Excess energy over the best structure of this formula in the dataset, eV per formula unit: 0.00
E, eV per cell: -8.22
Space-group type: F-43m, No. 216
Calculated volume, Å³/cell: 108

=====

First-principles (PBE) data for Nd2YGa2Hg3Au after structural relaxation, as listed in the Open Quantum Materials Database.

POSCAR file:
```
Nd2YGa2Hg3Au
1.0
-0.192 0.387 -4.351
4.231 -6.165 -0.735
-7.483 -0.611 0.275
Au Ga Hg Nd Y
1 2 3 2 1
Direct
0.000 0.995 0.995
0.500 0.665 0.337
0.500 0.337 0.665
0.500 0.262 0.262
0.500 0.999 0.739
0.500 0.739 0.999
0.000 0.411 0.001
0.000 0.001 0.411
0.000 0.591 0.591
```

E, eV per cell: -31.25
Space-group type: Amm2, No. 38
Calculated volume, Å³/cell: 214

=====

First-principles (PBE) data for CsBiPdSe3 after structural relaxation, as listed in the Open Quantum Materials Database.

POSCAR file:
```
CsBiPdSe3
1.0
-8.193 -3.572 -3.402
-0.239 -2.609 3.316
-1.544 8.134 6.289
Bi Cs Pd Se
2 2 2 6
Direct
0.180 0.750 0.131
0.820 0.250 0.869
0.721 0.750 0.252
0.279 0.250 0.748
0.422 0.250 0.412
0.578 0.750 0.588
0.394 0.250 0.145
0.970 0.250 0.157
0.303 0.750 0.457
0.697 0.250 0.543
0.030 0.750 0.843
0.606 0.750 0.855
```

E, eV per cell: -47.37
Space-group type: P2_1/m, No. 11
Calculated volume, Å³/cell: 389